# 1
La3TaO, relaxed, DFT PBE; distance to the lowest polymorph of the same formula = 0.000 eV per atom; E_form (uncorrected) = -0.825 eV/atom; crystal system = cubic
1.0
5.009 0.000 0.000
0.000 5.009 0.000
0.000 0.000 5.009
La O Ta
3 1 1
direct
0.000 0.500 0.000 La
0.000 0.000 0.500 La
0.500 0.000 0.000 La
0.000 0.000 0.000 O
0.500 0.500 0.500 Ta

---

# 2
La3TaO7, relaxed, DFT PBE; distance to the lowest polymorph of the same formula = 0.017 eV per atom; E_form (uncorrected) = -3.368 eV/atom; crystal system = orthorhombic
1.0
-5.158 3.844 -2.188
-0.451 -6.282 -2.549
-2.161 -1.117 3.134
La Ta O
3 1 7
direct
0.000 0.000 0.000 La
0.500 0.000 0.500 La
0.000 0.500 0.500 La
0.500 0.500 0.000 Ta
0.500 0.500 0.500 O
0.432 0.185 0.000 O
0.815 0.568 0.000 O
0.568 0.815 0.000 O
0.185 0.432 0.000 O
0.131 0.869 0.500 O
0.869 0.131 0.500 O

---

# 3
LaTaO2, relaxed, DFT PBE; distance to the lowest polymorph of the same formula = 0.000 eV per atom; E_form (uncorrected) = -2.215 eV/atom; crystal system = trigonal
1.0
2.199 0.000 5.871
-1.100 1.905 5.871
-1.100 -1.905 5.871
La O Ta
1 2 1
direct
0.500 0.500 0.500 La
0.890 0.890 0.890 O
0.110 0.110 0.110 O
0.000 0.000 0.000 Ta

---

# 4
LaTa3O, relaxed, DFT PBE; distance to the lowest polymorph of the same formula = 3.002 eV per atom; E_form (uncorrected) = 2.812 eV/atom; crystal system = cubic
1.0
4.918 0.000 0.000
0.000 4.918 0.000
0.000 0.000 4.918
La O Ta
1 1 3
direct
0.000 0.000 0.000 La
0.500 0.500 0.500 O
0.000 0.500 0.000 Ta
0.000 0.000 0.500 Ta
0.500 0.000 0.000 Ta

---

# 5
LaTaO2, relaxed, DFT PBE; distance to the lowest polymorph of the same formula = 0.327 eV per atom; E_form (uncorrected) = -1.888 eV/atom; crystal system = tetragonal
1.0
4.815 0.000 0.000
0.000 4.815 0.000
2.408 2.408 6.023
La O Ta
2 4 2
direct
0.500 0.500 0.000 La
0.250 0.750 0.500 La
0.761 0.125 0.250 O
0.989 0.625 0.250 O
0.375 0.239 0.750 O
0.875 0.011 0.750 O
0.000 0.000 0.000 Ta
0.750 0.250 0.500 Ta

---

# 6
LaTaTcO2, relaxed, DFT PBE; E_form (uncorrected) = 0.172 eV/atom; crystal system = tetragonal
1.0
4.065 0.000 0.000
0.000 7.324 0.000
0.000 0.000 4.065
La Tc O Ta
1 1 2 1
direct
0.000 0.000 0.000 La
0.000 0.500 0.000 Tc
0.000 0.000 0.500 O
0.500 0.000 0.000 O
0.500 0.500 0.500 Ta

---

# 7
LaTa2TeO, relaxed, DFT PBE; E_form (uncorrected) = -0.595 eV/atom; crystal system = tetragonal
1.0
4.255 0.000 0.000
0.000 5.834 0.000
0.000 0.000 4.255
La Te O Ta
1 1 1 2
direct
0.500 0.500 0.500 La
0.000 0.500 0.000 Te
0.000 0.000 0.000 O
0.000 0.000 0.500 Ta
0.500 0.000 0.000 Ta

---

# 8
LaTaTi2O8, relaxed, DFT PBE; E_form (uncorrected) = -3.047 eV/atom; crystal system = monoclinic
1.0
-0.408 0.449 4.941
-0.931 -4.715 1.296
6.547 -1.698 1.467
La Ta Ti O
1 1 2 8
direct
0.000 0.000 0.500 La
0.000 0.000 0.000 Ta
0.432 0.432 0.735 Ti
0.568 0.568 0.265 Ti
0.217 0.787 0.214 O
0.742 0.742 0.055 O
0.787 0.217 0.214 O
0.783 0.213 0.786 O
0.258 0.258 0.945 O
0.213 0.783 0.786 O
0.673 0.673 0.482 O
0.327 0.327 0.518 O